Run i
A geometry-optimized Mn2TcW structure. Source: the Alexandria database, functional PBE-GGA.

```
data_Mn2TcW
_chemical_formula_sum 'Mn2 Tc1 W1'
_symmetry_space_group_name_H-M 'P 1'
_symmetry_Int_Tables_number 1
_cell_length_a 4.874
_cell_length_b 4.874
_cell_length_c 2.641
_cell_angle_alpha 98.82
_cell_angle_beta 98.82
_cell_angle_gamma 114.70
loop_
_symmetry_equiv_pos_as_xyz
'x,y,z'
loop_
_atom_site_label
_atom_site_type_symbol
_atom_site_fract_x
_atom_site_fract_y
_atom_site_fract_z
Mn1 Mn 0.000 0.500 0.000
Mn2 Mn 0.500 0.000 0.000
Tc1 Tc 0.000 0.000 0.500
W1 W 0.500 0.500 0.500
```

* N(E_F): 3.67 states/eV/cell
* density: 11.901 g cm⁻³
* volume: 54.7 Å³/cell


Run ii
A geometry-optimized Mn2TcW structure. Source: the Alexandria database, functional PBE-GGA.

```
data_Mn2TcW
_chemical_formula_sum 'Mn2 Tc1 W1'
_symmetry_space_group_name_H-M 'P 1'
_symmetry_Int_Tables_number 1
_cell_length_a 2.649
_cell_length_b 2.649
_cell_length_c 8.140
_cell_angle_alpha 90.00
_cell_angle_beta 90.00
_cell_angle_gamma 107.66
loop_
_symmetry_equiv_pos_as_xyz
'x,y,z'
loop_
_atom_site_label
_atom_site_type_symbol
_atom_site_fract_x
_atom_site_fract_y
_atom_site_fract_z
Mn1 Mn 0.000 0.000 0.000
Mn2 Mn 0.500 0.500 0.228
Tc1 Tc 0.500 0.500 0.756
W1 W 0.000 0.000 0.479
```

* N(E_F): 4.55 states/eV/cell
* density: 11.947 g cm⁻³
* volume: 54.4 Å³/cell


On energetic grounds, run i is preferred over the next structure by 0.059 eV/atom.


Run i
A geometry-optimized Mn2TcW structure. Source: the Alexandria database, functional PBE-GGA.

```
data_Mn2TcW
_chemical_formula_sum 'Mn2 Tc1 W1'
_symmetry_space_group_name_H-M 'P 1'
_symmetry_Int_Tables_number 1
_cell_length_a 2.633
_cell_length_b 4.280
_cell_length_c 4.899
_cell_angle_alpha 90.00
_cell_angle_beta 98.86
_cell_angle_gamma 90.00
loop_
_symmetry_equiv_pos_as_xyz
'x,y,z'
loop_
_atom_site_label
_atom_site_type_symbol
_atom_site_fract_x
_atom_site_fract_y
_atom_site_fract_z
Mn1 Mn 0.000 0.000 0.000
Mn2 Mn 0.196 0.500 0.745
Tc1 Tc 0.708 0.500 0.226
W1 W 0.484 0.000 0.510
```

* N(E_F): 4.11 states/eV/cell
* density: 11.923 g cm⁻³
* volume: 54.6 Å³/cell


Run ii
A geometry-optimized Mn2TcW structure. Source: the Alexandria database, functional PBE-GGA.

```
data_Mn2TcW
_chemical_formula_sum 'Mn2 Tc1 W1'
_symmetry_space_group_name_H-M 'P 1'
_symmetry_Int_Tables_number 1
_cell_length_a 8.762
_cell_length_b 8.762
_cell_length_c 8.762
_cell_angle_alpha 17.61
_cell_angle_beta 17.61
_cell_angle_gamma 17.61
loop_
_symmetry_equiv_pos_as_xyz
'x,y,z'
loop_
_atom_site_label
_atom_site_type_symbol
_atom_site_fract_x
_atom_site_fract_y
_atom_site_fract_z
Mn1 Mn 0.000 0.000 0.000
Mn2 Mn 0.261 0.261 0.261
Tc1 Tc 0.747 0.747 0.747
W1 W 0.508 0.508 0.508
```

* N(E_F): 5.06 states/eV/cell
* density: 12.108 g cm⁻³
* volume: 53.7 Å³/cell


Run iii
A geometry-optimized Mn2TcW structure. Source: the Alexandria database, functional PBE-GGA.

```
data_Mn2TcW
_chemical_formula_sum 'Mn2 Tc1 W1'
_symmetry_space_group_name_H-M 'P 1'
_symmetry_Int_Tables_number 1
_cell_length_a 4.680
_cell_length_b 4.680
_cell_length_c 4.680
_cell_angle_alpha 132.18
_cell_angle_beta 132.18
_cell_angle_gamma 69.94
loop_
_symmetry_equiv_pos_as_xyz
'x,y,z'
loop_
_atom_site_label
_atom_site_type_symbol
_atom_site_fract_x
_atom_site_fract_y
_atom_site_fract_z
Mn1 Mn 0.000 0.000 0.000
Mn2 Mn 0.750 0.250 0.500
Tc1 Tc 0.250 0.750 0.500
W1 W 0.500 0.500 0.000
```

* N(E_F): 4.60 states/eV/cell
* density: 11.786 g cm⁻³
* volume: 55.2 Å³/cell


Run iv
A geometry-optimized Mn2TcW structure. Source: the Alexandria database, functional PBE-GGA.

```
data_Mn2TcW
_chemical_formula_sum 'Mn2 Tc1 W1'
_symmetry_space_group_name_H-M 'P 1'
_symmetry_Int_Tables_number 1
_cell_length_a 8.741
_cell_length_b 8.741
_cell_length_c 8.741
_cell_angle_alpha 17.96
_cell_angle_beta 17.96
_cell_angle_gamma 17.96
loop_
_symmetry_equiv_pos_as_xyz
'x,y,z'
loop_
_atom_site_label
_atom_site_type_symbol
_atom_site_fract_x
_atom_site_fract_y
_atom_site_fract_z
Mn1 Mn 0.247 0.247 0.247
Mn2 Mn 0.753 0.753 0.753
Tc1 Tc 0.500 0.500 0.500
W1 W 0.000 0.000 0.000
```

* N(E_F): 4.02 states/eV/cell
* density: 11.731 g cm⁻³
* volume: 55.4 Å³/cell


On energetic grounds, run i is preferred over the next structure by 0.041 eV/atom.


Run i
A geometry-optimized Mn2TcW structure. Source: the Alexandria database, functional PBE-GGA.

```
data_Mn2TcW
_chemical_formula_sum 'Mn2 Tc1 W1'
_symmetry_space_group_name_H-M 'P 1'
_symmetry_Int_Tables_number 1
_cell_length_a 4.162
_cell_length_b 4.162
_cell_length_c 3.138
_cell_angle_alpha 90.00
_cell_angle_beta 90.00
_cell_angle_gamma 90.00
loop_
_symmetry_equiv_pos_as_xyz
'x,y,z'
loop_
_atom_site_label
_atom_site_type_symbol
_atom_site_fract_x
_atom_site_fract_y
_atom_site_fract_z
Mn1 Mn 0.000 0.500 0.000
Mn2 Mn 0.500 0.000 0.000
Tc1 Tc 0.000 0.000 0.500
W1 W 0.500 0.500 0.500
```

* N(E_F): 5.36 states/eV/cell
* density: 11.968 g cm⁻³
* volume: 54.4 Å³/cell


Run ii
A geometry-optimized Mn2TcW structure. Source: the Alexandria database, functional PBE-GGA.

```
data_Mn2TcW
_chemical_formula_sum 'Mn2 Tc1 W1'
_symmetry_space_group_name_H-M 'P 1'
_symmetry_Int_Tables_number 1
_cell_length_a 4.208
_cell_length_b 4.208
_cell_length_c 4.208
_cell_angle_alpha 60.00
_cell_angle_beta 60.00
_cell_angle_gamma 60.00
loop_
_symmetry_equiv_pos_as_xyz
'x,y,z'
loop_
_atom_site_label
_atom_site_type_symbol
_atom_site_fract_x
_atom_site_fract_y
_atom_site_fract_z
Mn1 Mn 0.250 0.250 0.250
Mn2 Mn 0.750 0.750 0.750
Tc1 Tc 0.000 0.000 0.000
W1 W 0.500 0.500 0.500
```

* N(E_F): 10.61 states/eV/cell
* density: 12.343 g cm⁻³
* volume: 52.7 Å³/cell


Run iii
A geometry-optimized Mn2TcW structure. Source: the Alexandria database, functional PBE-GGA.

```
data_Mn2TcW
_chemical_formula_sum 'Mn2 Tc1 W1'
_symmetry_space_group_name_H-M 'P 1'
_symmetry_Int_Tables_number 1
_cell_length_a 3.046
_cell_length_b 3.046
_cell_length_c 5.868
_cell_angle_alpha 90.00
_cell_angle_beta 90.00
_cell_angle_gamma 90.00
loop_
_symmetry_equiv_pos_as_xyz
'x,y,z'
loop_
_atom_site_label
_atom_site_type_symbol
_atom_site_fract_x
_atom_site_fract_y
_atom_site_fract_z
Mn1 Mn 0.000 0.000 0.250
Mn2 Mn 0.000 0.000 0.750
Tc1 Tc 0.500 0.500 0.000
W1 W 0.500 0.500 0.500
```

* N(E_F): 3.96 states/eV/cell
* density: 11.944 g cm⁻³
* volume: 54.5 Å³/cell


On energetic grounds, run i is preferred over the next structure by 0.009 eV/atom.


Run i
A geometry-optimized Mn2TcW structure. Source: the Alexandria database, functional PBE-GGA.

```
data_Mn2TcW
_chemical_formula_sum 'Mn2 Tc1 W1'
_symmetry_space_group_name_H-M 'P 1'
_symmetry_Int_Tables_number 1
_cell_length_a 4.959
_cell_length_b 4.959
_cell_length_c 4.959
_cell_angle_alpha 143.97
_cell_angle_beta 129.81
_cell_angle_gamma 63.32
loop_
_symmetry_equiv_pos_as_xyz
'x,y,z'
loop_
_atom_site_label
_atom_site_type_symbol
_atom_site_fract_x
_atom_site_fract_y
_atom_site_fract_z
Mn1 Mn 0.000 0.000 0.000
Mn2 Mn 0.753 0.253 0.500
Tc1 Tc 0.250 0.750 0.500
W1 W 0.502 0.502 0.000
```

* N(E_F): 4.54 states/eV/cell
* density: 11.943 g cm⁻³
* volume: 54.5 Å³/cell


Run ii
A geometry-optimized Mn2TcW structure. Source: the Alexandria database, functional PBE-GGA.

```
data_Mn2TcW
_chemical_formula_sum 'Mn2 Tc1 W1'
_symmetry_space_group_name_H-M 'P 1'
_symmetry_Int_Tables_number 1
_cell_length_a 2.690
_cell_length_b 2.690
_cell_length_c 7.298
_cell_angle_alpha 90.00
_cell_angle_beta 90.00
_cell_angle_gamma 90.00
loop_
_symmetry_equiv_pos_as_xyz
'x,y,z'
loop_
_atom_site_label
_atom_site_type_symbol
_atom_site_fract_x
_atom_site_fract_y
_atom_site_fract_z
Mn1 Mn 0.000 0.000 0.000
Mn2 Mn 0.500 0.500 0.198
Tc1 Tc 0.000 0.000 0.441
W1 W 0.500 0.500 0.739
```

* N(E_F): 5.19 states/eV/cell
* density: 12.315 g cm⁻³
* volume: 52.8 Å³/cell


On energetic grounds, run i is preferred over the next structure by 0.038 eV/atom.


Run i
A geometry-optimized MnTcW2 structure. Source: the Alexandria database, functional PBE-GGA.

```
data_MnTcW2
_chemical_formula_sum 'Mn1 Tc1 W2'
_symmetry_space_group_name_H-M 'P 1'
_symmetry_Int_Tables_number 1
_cell_length_a 5.088
_cell_length_b 5.088
_cell_length_c 5.088
_cell_angle_alpha 143.90
_cell_angle_beta 128.85
_cell_angle_gamma 64.20
loop_
_symmetry_equiv_pos_as_xyz
'x,y,z'
loop_
_atom_site_label
_atom_site_type_symbol
_atom_site_fract_x
_atom_site_fract_y
_atom_site_fract_z
Mn1 Mn 0.000 0.000 0.000
Tc1 Tc 0.500 0.500 0.000
W1 W 0.252 0.752 0.500
W2 W 0.748 0.248 0.500
```

* N(E_F): 3.11 states/eV/cell
* density: 14.478 g cm⁻³
* volume: 59.7 Å³/cell


Run ii
A geometry-optimized MnTcW2 structure. Source: the Alexandria database, functional PBE-GGA.

```
data_MnTcW2
_chemical_formula_sum 'Mn1 Tc1 W2'
_symmetry_space_group_name_H-M 'P 1'
_symmetry_Int_Tables_number 1
_cell_length_a 2.691
_cell_length_b 4.347
_cell_length_c 5.166
_cell_angle_alpha 90.00
_cell_angle_beta 99.88
_cell_angle_gamma 90.00
loop_
_symmetry_equiv_pos_as_xyz
'x,y,z'
loop_
_atom_site_label
_atom_site_type_symbol
_atom_site_fract_x
_atom_site_fract_y
_atom_site_fract_z
Mn1 Mn 0.000 0.000 0.000
Tc1 Tc 0.500 0.000 0.500
W1 W 0.254 0.500 0.754
W2 W 0.746 0.500 0.246
```

* N(E_F): 3.30 states/eV/cell
* density: 14.522 g cm⁻³
* volume: 59.5 Å³/cell


On energetic grounds, run i is preferred over the next structure by 0.025 eV/atom.


Run i
A geometry-optimized MnTcW2 structure. Source: the Alexandria database, functional PBE-GGA.

```
data_MnTcW2
_chemical_formula_sum 'Mn1 Tc1 W2'
_symmetry_space_group_name_H-M 'P 1'
_symmetry_Int_Tables_number 1
_cell_length_a 2.709
_cell_length_b 2.709
_cell_length_c 7.961
_cell_angle_alpha 90.00
_cell_angle_beta 90.00
_cell_angle_gamma 90.00
loop_
_symmetry_equiv_pos_as_xyz
'x,y,z'
loop_
_atom_site_label
_atom_site_type_symbol
_atom_site_fract_x
_atom_site_fract_y
_atom_site_fract_z
Mn1 Mn 0.000 0.000 0.000
Tc1 Tc 0.500 0.500 0.203
W1 W 0.000 0.000 0.477
W2 W 0.500 0.500 0.764
```

* N(E_F): 4.06 states/eV/cell
* density: 14.795 g cm⁻³
* volume: 58.4 Å³/cell


Run ii
A geometry-optimized MnTcW2 structure. Source: the Alexandria database, functional PBE-GGA.

```
data_MnTcW2
_chemical_formula_sum 'Mn1 Tc1 W2'
_symmetry_space_group_name_H-M 'P 1'
_symmetry_Int_Tables_number 1
_cell_length_a 2.706
_cell_length_b 2.706
_cell_length_c 8.533
_cell_angle_alpha 90.00
_cell_angle_beta 90.00
_cell_angle_gamma 109.48
loop_
_symmetry_equiv_pos_as_xyz
'x,y,z'
loop_
_atom_site_label
_atom_site_type_symbol
_atom_site_fract_x
_atom_site_fract_y
_atom_site_fract_z
Mn1 Mn 0.000 0.000 0.000
Tc1 Tc 0.000 0.000 0.500
W1 W 0.500 0.500 0.239
W2 W 0.500 0.500 0.761
```

* N(E_F): 3.21 states/eV/cell
* density: 14.681 g cm⁻³
* volume: 58.9 Å³/cell


On energetic grounds, run ii is preferred over the next structure by 0.073 eV/atom.


Run i
A geometry-optimized MnTcW2 structure. Source: the Alexandria database, functional PBE-GGA.

```
data_MnTcW2
_chemical_formula_sum 'Mn2 Tc2 W4'
_symmetry_space_group_name_H-M 'P 1'
_symmetry_Int_Tables_number 1
_cell_length_a 5.576
_cell_length_b 5.576
_cell_length_c 5.576
_cell_angle_alpha 103.15
_cell_angle_beta 103.15
_cell_angle_gamma 123.02
loop_
_symmetry_equiv_pos_as_xyz
'x,y,z'
loop_
_atom_site_label
_atom_site_type_symbol
_atom_site_fract_x
_atom_site_fract_y
_atom_site_fract_z
Mn1 Mn 0.000 0.000 0.000
Mn2 Mn 0.750 0.250 0.500
Tc1 Tc 0.250 0.750 0.500
Tc2 Tc 0.500 0.500 0.000
W1 W 0.121 0.625 0.996
W2 W 0.375 0.371 0.496
W3 W 0.629 0.125 0.004
W4 W 0.875 0.879 0.504
```

* N(E_F): 8.19 states/eV/cell
* density: 13.531 g cm⁻³
* volume: 127.8 Å³/cell


Run ii
A geometry-optimized MnTcW2 structure. Source: the Alexandria database, functional PBE-GGA.

```
data_MnTcW2
_chemical_formula_sum 'Mn1 Tc1 W2'
_symmetry_space_group_name_H-M 'P 1'
_symmetry_Int_Tables_number 1
_cell_length_a 4.390
_cell_length_b 4.390
_cell_length_c 4.390
_cell_angle_alpha 60.00
_cell_angle_beta 60.00
_cell_angle_gamma 60.00
loop_
_symmetry_equiv_pos_as_xyz
'x,y,z'
loop_
_atom_site_label
_atom_site_type_symbol
_atom_site_fract_x
_atom_site_fract_y
_atom_site_fract_z
Mn1 Mn 0.000 0.000 0.000
Tc1 Tc 0.250 0.250 0.250
W1 W 0.500 0.500 0.500
W2 W 0.750 0.750 0.750
```

* N(E_F): 3.83 states/eV/cell
* density: 14.451 g cm⁻³
* volume: 59.8 Å³/cell


Run iii
A geometry-optimized MnTcW2 structure. Source: the Alexandria database, functional PBE-GGA.

```
data_MnTcW2
_chemical_formula_sum 'Mn1 Tc1 W2'
_symmetry_space_group_name_H-M 'P 1'
_symmetry_Int_Tables_number 1
_cell_length_a 3.156
_cell_length_b 4.304
_cell_length_c 4.393
_cell_angle_alpha 90.00
_cell_angle_beta 90.00
_cell_angle_gamma 90.00
loop_
_symmetry_equiv_pos_as_xyz
'x,y,z'
loop_
_atom_site_label
_atom_site_type_symbol
_atom_site_fract_x
_atom_site_fract_y
_atom_site_fract_z
Mn1 Mn 0.000 0.000 0.000
Tc1 Tc 0.500 0.000 0.500
W1 W 0.000 0.500 0.500
W2 W 0.500 0.500 0.000
```

* N(E_F): 3.10 states/eV/cell
* density: 14.487 g cm⁻³
* volume: 59.7 Å³/cell


On energetic grounds, run iii is preferred over the next structure by 0.026 eV/atom.


Run i
A geometry-optimized MnTcW2 structure. Source: the Alexandria database, functional PBE-GGA.

```
data_MnTcW2
_chemical_formula_sum 'Mn1 Tc1 W2'
_symmetry_space_group_name_H-M 'P 1'
_symmetry_Int_Tables_number 1
_cell_length_a 4.347
_cell_length_b 4.347
_cell_length_c 4.347
_cell_angle_alpha 60.00
_cell_angle_beta 60.00
_cell_angle_gamma 60.00
loop_
_symmetry_equiv_pos_as_xyz
'x,y,z'
loop_
_atom_site_label
_atom_site_type_symbol
_atom_site_fract_x
_atom_site_fract_y
_atom_site_fract_z
Mn1 Mn 0.000 0.000 0.000
Tc1 Tc 0.500 0.500 0.500
W1 W 0.250 0.250 0.250
W2 W 0.750 0.750 0.750
```

* N(E_F): 4.78 states/eV/cell
* density: 14.884 g cm⁻³
* volume: 58.1 Å³/cell


Run ii
A geometry-optimized MnTcW2 structure. Source: the Alexandria database, functional PBE-GGA.

```
data_MnTcW2
_chemical_formula_sum 'Mn1 Tc1 W2'
_symmetry_space_group_name_H-M 'P 1'
_symmetry_Int_Tables_number 1
_cell_length_a 3.135
_cell_length_b 3.135
_cell_length_c 6.065
_cell_angle_alpha 90.00
_cell_angle_beta 90.00
_cell_angle_gamma 90.00
loop_
_symmetry_equiv_pos_as_xyz
'x,y,z'
loop_
_atom_site_label
_atom_site_type_symbol
_atom_site_fract_x
_atom_site_fract_y
_atom_site_fract_z
Mn1 Mn 0.000 0.000 0.000
Tc1 Tc 0.500 0.500 0.254
W1 W 0.000 0.000 0.499
W2 W 0.500 0.500 0.769
```

* N(E_F): 3.19 states/eV/cell
* density: 14.507 g cm⁻³
* volume: 59.6 Å³/cell


On energetic grounds, run ii is preferred over the next structure by 0.063 eV/atom.